Entry 1:
TaZn4Rh5 | PBE | relaxed

For the formation enthalpy at 0 K, the calculation gives -4.60 eV per formula unit. Its total DFT energy (no corrections) is -5.8307 eV per atom. The crystal system is tetragonal.

The structure belongs to space group P4/mmm (No. 123); the cell edges are 3.122, 3.122 and 14.771 Å and the angles 90.00°, 90.00° and 90.00°. Symmetry generates all atoms from Ta at (0.000, 0.000, 0.000), Zn at (0.000, 0.000, 0.209), Zn at (0.000, 0.000, 0.402), Rh at (0.500, 0.500, 0.102), Rh at (0.500, 0.500, 0.301) and Rh at (0.500, 0.500, 0.500).


Entry 2:
TaZnRh4 | PBE | relaxed

For the formation enthalpy at 0 K, the calculation gives -0.74 eV per formula unit. Its total DFT energy (no corrections) is -7.2113 eV per atom. The crystal system is cubic.

The structure belongs to space group F-43m (No. 216); the cell edges are 7.194, 7.194 and 7.194 Å and the angles 90.00°, 90.00° and 90.00°. Symmetry generates all atoms from Ta at (0.000, 0.000, 0.000), Zn at (0.250, 0.250, 0.750) and Rh at (0.124, 0.124, 0.376).


Entry 3:
TaZnRh2 | PBE | relaxed

For the formation enthalpy at 0 K, the calculation gives -1.78 eV per formula unit. Its total DFT energy (no corrections) is -7.4011 eV per atom. The crystal system is orthorhombic.

The structure belongs to space group Cmmm (No. 65); the cell edges are 5.928, 6.527 and 3.114 Å and the angles 90.00°, 90.00° and 90.00°. Symmetry generates all atoms from Ta at (0.000, 0.000, 0.000), Zn at (0.000, 0.500, 0.000) and Rh at (0.250, 0.250, 0.500).


Entry 4:
Ta2ZnRh | PBE | relaxed

For the formation enthalpy at 0 K, the calculation gives 1.18 eV per formula unit. Its total DFT energy (no corrections) is -7.7879 eV per atom. The crystal system is tetragonal.

The structure belongs to space group I-42d (No. 122); the cell edges are 7.290, 7.290 and 5.326 Å and the angles 90.00°, 90.00° and 90.00°. Symmetry generates all atoms from Ta at (0.223, 0.750, 0.125), Zn at (0.000, 0.000, 0.500) and Rh at (0.000, 0.000, 0.000).


Entry 5:
Ta3ZnRh4 | PBE | relaxed

For the formation enthalpy at 0 K, the calculation gives -3.82 eV per formula unit. Its total DFT energy (no corrections) is -8.7573 eV per atom. The crystal system is orthorhombic.

The structure belongs to space group Pmma (No. 51); the cell edges are 9.105, 5.729 and 4.748 Å and the angles 90.00°, 90.00° and 90.00°. Symmetry generates all atoms from Ta at (0.000, 0.000, 0.000), Ta at (0.250, 0.000, 0.393), Ta at (0.250, 0.500, 0.367), Zn at (0.000, 0.500, 0.000), Rh at (0.000, 0.252, 0.500) and Rh at (0.250, 0.256, 0.878).


Entry 6:
TaZnRh2 | PBE | relaxed

For the formation enthalpy at 0 K, the calculation gives -1.23 eV per formula unit. Its total DFT energy (no corrections) is -7.2649 eV per atom. The crystal system is trigonal.

The structure belongs to space group R-3m (No. 166, hexagonal axes); the cell edges are 2.8843, 2.8843 and 25.5090 Å and the angles 90.00°, 90.00° and 120.00°. Symmetry generates all atoms from Ta at (0.0000, 0.0000, 0.0000), Zn at (0.0000, 0.0000, 0.5000) and Rh at (0.0000, 0.0000, 0.2486).


Entry 7:
Ta2ZnRh | PBE | relaxed

For the formation enthalpy at 0 K, the calculation gives -0.58 eV per formula unit. Its total DFT energy (no corrections) is -8.2271 eV per atom. The crystal system is orthorhombic.

The structure belongs to space group Imm2 (No. 44); the cell edges are 2.958, 4.713 and 9.373 Å and the angles 90.00°, 90.00° and 90.00°. Symmetry generates all atoms from Ta at (0.000, 0.000, 0.000), Ta at (0.000, 0.500, 0.243), Zn at (0.000, 0.500, 0.769) and Rh at (0.000, 0.000, 0.502).


Entry 8:
TaZnRh2 | PBE | relaxed

For the formation enthalpy at 0 K, the calculation gives -0.33 eV per formula unit. Its total DFT energy (no corrections) is -7.0394 eV per atom. The crystal system is cubic.

The structure belongs to space group F-43m (No. 216); the cell edges are 6.245, 6.245 and 6.245 Å and the angles 90.00°, 90.00° and 90.00°. Symmetry generates all atoms from Ta at (0.000, 0.000, 0.000), Zn at (0.250, 0.250, 0.750), Rh at (0.000, 0.000, 0.500) and Rh at (0.250, 0.250, 0.250).


Entry 9:
TaZnRh2 | PBE | relaxed

For the formation enthalpy at 0 K, the calculation gives -0.01 eV per formula unit. Its total DFT energy (no corrections) is -6.9590 eV per atom. The crystal system is tetragonal.

The structure belongs to space group I-42d (No. 122); the cell edges are 6.850, 6.850 and 5.672 Å and the angles 90.00°, 90.00° and 90.00°. Symmetry generates all atoms from Ta at (0.000, 0.000, 0.000), Zn at (0.000, 0.000, 0.500) and Rh at (0.241, 0.250, 0.125).


Entry 10:
TaZnRh2 | PBE | relaxed

For the formation enthalpy at 0 K, the calculation gives -2.18 eV per formula unit. Its total DFT energy (no corrections) is -7.5033 eV per atom. The crystal system is monoclinic.

The structure belongs to space group P2/m (No. 10); the cell edges are 2.958, 3.477 and 5.840 Å and the angles 90.00°, 90.08° and 90.00°. Symmetry generates all atoms from Ta at (0.000, 0.000, 0.000), Zn at (0.000, 0.000, 0.500) and Rh at (0.500, 0.500, 0.255).


Entry 11:
TaZnRh2 | PBE | relaxed

For the formation enthalpy at 0 K, the calculation gives -2.35 eV per formula unit. Its total DFT energy (no corrections) is -7.5460 eV per atom. The crystal system is tetragonal.

The structure belongs to space group I4/mmm (No. 139); the cell edges are 4.134, 4.134 and 6.975 Å and the angles 90.00°, 90.00° and 90.00°. Symmetry generates all atoms from Ta at (0.000, 0.000, 0.000), Zn at (0.000, 0.000, 0.500) and Rh at (0.000, 0.500, 0.250).


Entry 12:
Ta3ZnRh | PBE | relaxed

For the formation enthalpy at 0 K, the calculation gives 6.95 eV per formula unit. For the energy above the most stable polymorph in this dataset, the calculation gives 247 meV/atom. Its total DFT energy (no corrections) is -7.4472 eV per atom. The crystal system is cubic.

The structure belongs to space group Pm-3m (No. 221); the cell edges are 4.626, 4.626 and 4.626 Å and the angles 90.00°, 90.00° and 90.00°. Symmetry generates all atoms from Ta at (0.000, 0.000, 0.500), Zn at (0.000, 0.000, 0.000) and Rh at (0.500, 0.500, 0.500).


Entry 13:
TaZnRh3 | PBE | relaxed

For the formation enthalpy at 0 K, the calculation gives 0.01 eV per formula unit. For the energy above the most stable polymorph in this dataset, the calculation gives 0 meV/atom. Its total DFT energy (no corrections) is -7.0347 eV per atom. The crystal system is orthorhombic.

The structure belongs to space group Cmcm (No. 63); the cell edges are 6.376, 11.027 and 4.497 Å and the angles 90.00°, 90.00° and 90.00°. Symmetry generates all atoms from Ta at (0.000, 0.166, 0.250), Zn at (0.000, 0.500, 0.000), Rh at (0.000, 0.303, 0.750) and Rh at (0.205, 0.098, 0.750).


Entry 14:
Ta2ZnRh | PBE | relaxed

For the formation enthalpy at 0 K, the calculation gives -0.80 eV per formula unit. Its total DFT energy (no corrections) is -8.2818 eV per atom. The crystal system is orthorhombic.

The structure belongs to space group Cmmm (No. 65); the cell edges are 5.599, 8.103 and 2.828 Å and the angles 90.00°, 90.00° and 90.00°. Symmetry generates all atoms from Ta at (0.250, 0.250, 0.000), Zn at (0.000, 0.000, 0.500) and Rh at (0.000, 0.500, 0.500).


Entry 15:
TaZnRh2 | PBE | relaxed

For the formation enthalpy at 0 K, the calculation gives -0.57 eV per formula unit. Its total DFT energy (no corrections) is -7.0998 eV per atom. The crystal system is tetragonal.

The structure belongs to space group P4mm (No. 99); the cell edges are 2.828, 2.828 and 7.542 Å and the angles 90.00°, 90.00° and 90.00°. Symmetry generates all atoms from Ta at (0.000, 0.000, 0.000), Zn at (0.500, 0.500, 0.270), Rh at (0.000, 0.000, 0.491) and Rh at (0.500, 0.500, 0.745).


Entry 16:
Ta2ZnRh | PBE | relaxed

For the formation enthalpy at 0 K, the calculation gives -0.23 eV per formula unit. Its total DFT energy (no corrections) is -8.1406 eV per atom. The crystal system is trigonal.

The structure belongs to space group R-3m (No. 166, hexagonal axes); the cell edges are 2.8564, 2.8564 and 27.8967 Å and the angles 90.00°, 90.00° and 120.00°. Symmetry generates all atoms from Ta at (0.0000, 0.0000, 0.2475), Zn at (0.0000, 0.0000, 0.0000) and Rh at (0.0000, 0.0000, 0.5000).


Entry 17:
TaZnRh3 | PBE | relaxed

For the formation enthalpy at 0 K, the calculation gives 3.76 eV per formula unit. For the energy above the most stable polymorph in this dataset, the calculation gives 751 meV/atom. Its total DFT energy (no corrections) is -6.2839 eV per atom. The crystal system is cubic.

The structure belongs to space group Pm-3m (No. 221); the cell edges are 4.422, 4.422 and 4.422 Å and the angles 90.00°, 90.00° and 90.00°. Symmetry generates all atoms from Ta at (0.000, 0.000, 0.000), Zn at (0.500, 0.500, 0.500) and Rh at (0.000, 0.500, 0.500).


Entry 18:
TaZnRh2 | PBE | relaxed

For the formation enthalpy at 0 K, the calculation gives -1.53 eV per formula unit. Its total DFT energy (no corrections) is -7.3392 eV per atom. The crystal system is orthorhombic.

The structure belongs to space group Pmm2 (No. 25); the cell edges are 2.848, 4.023 and 5.287 Å and the angles 90.00°, 90.00° and 90.00°. Symmetry generates all atoms from Ta at (0.000, 0.000, 0.000), Zn at (0.500, 0.500, 0.285), Rh at (0.000, 0.000, 0.471) and Rh at (0.500, 0.500, 0.778).


Entry 19:
Ta4ZnRh | PBE | relaxed

For the formation enthalpy at 0 K, the calculation gives 2.24 eV per formula unit. Its total DFT energy (no corrections) is -8.9666 eV per atom. The crystal system is cubic.

The structure belongs to space group F-43m (No. 216); the cell edges are 7.582, 7.582 and 7.582 Å and the angles 90.00°, 90.00° and 90.00°. Symmetry generates all atoms from Ta at (0.124, 0.124, 0.124), Zn at (0.250, 0.250, 0.750) and Rh at (0.000, 0.000, 0.500).


Entry 20:
TaZnRh2 | PBE | relaxed

For the formation enthalpy at 0 K, the calculation gives -1.25 eV per formula unit. Its total DFT energy (no corrections) is -7.2697 eV per atom. The crystal system is monoclinic.

The structure belongs to space group C2/m (No. 12); the cell edges are 8.637, 2.874 and 4.965 Å and the angles 90.00°, 100.34° and 90.00°. Symmetry generates all atoms from Ta at (0.000, 0.000, 0.000), Zn at (0.000, 0.500, 0.500) and Rh at (0.249, 0.000, 0.744).